! GGA+U SrLaFeSnO6, optimized geometry; values from VASP
! calculated total energy	-6.97	eV/atom
! M_tot	9.97	μB/cell
! SG	No. 7
! Fermi-level density of states	0.0	states/eV/f.u.
! crystal system	monoclinic
&SYSTEM
  ibrav = 0, nat = 20, ntyp = 5
/
ATOMIC_SPECIES
Sr 87.62 Sr.upf
La 138.91 La.upf
Fe 55.84 Fe.upf
Sn 118.71 Sn.upf
O 16.00 O.upf
CELL_PARAMETERS angstrom
5.684 0.000 0.000
0.000 5.749 0.000
0.022 0.000 8.065
ATOMIC_POSITIONS crystal
Sr 0.494 0.219 0.750
Sr 0.994 0.781 0.250
La 0.011 0.707 0.750
La 0.511 0.293 0.250
Fe 0.001 0.248 0.999
Fe 0.501 0.752 0.499
Sn 0.001 0.246 0.500
Sn 0.501 0.754 0.000
O 0.590 0.767 0.748
O 0.090 0.233 0.248
O 0.930 0.276 0.753
O 0.430 0.724 0.253
O 0.204 0.960 0.955
O 0.704 0.040 0.455
O 0.283 0.472 0.541
O 0.783 0.528 0.041
O 0.778 0.531 0.459
O 0.278 0.469 0.959
O 0.709 0.046 0.045
O 0.209 0.954 0.545